CoSiB3 at its PBEsol-relaxed geometry, computed with meta-GGA SCAN.

Cell: 3.756 3.756 3.756 Å, 90.00 90.00 90.00°
Space group Pm-3m (No. 221)
Inequivalent atoms, fractional coordinates:
1 Co 0.000 0.000 0.000
2 Si 0.500 0.500 0.500
3 B 0.000 0.000 0.500

Calculated values
E above lowest polymorph	0	meV per atom
ΔE_f (raw)	1.163	eV/atom
calculated total energy	-8.76	eV/atom